DFT (GGA-PBE) results for Li2Al4Zn3 after structural relaxation.

The structure belongs to space group P-1 (No. 2); the cell edges are 4.881, 4.899 and 6.814 Å and the angles 89.59°, 88.46° and 60.91°. The distinct sites, in fractional coordinates, are Li at (0.165, 0.328, 0.334), Al at (0.167, 0.671, 0.002), Al at (0.490, 0.673, 0.333), Zn at (0.171, 0.997, 0.667) and Zn at (0.500, 0.000, 0.000).

The formation enthalpy at 0 K comes out at -72 meV/atom.